Entry 1:
# La3Pt3O11 | Alexandria via LeMat-Bulk | SCAN | single point on PBEsol structure
# Formation energy without anion corrections in eV/atom: -2.16
data_La3Pt3O11
_chemical_formula_sum 'La12 Pt12 O44'
_symmetry_space_group_name_H-M 'P 1'
_symmetry_Int_Tables_number 1
_cell_length_a 9.4555
_cell_length_b 9.4555
_cell_length_c 9.4555
_cell_angle_alpha 90.00
_cell_angle_beta 90.00
_cell_angle_gamma 90.00
loop_
_symmetry_equiv_pos_as_xyz
'x,y,z'
loop_
_atom_site_label
_atom_site_fract_x
_atom_site_fract_y
_atom_site_fract_z
La1 0.0000 0.0000 0.0000
La2 0.0000 0.5000 0.5000
La3 0.1138 0.1138 0.3862
La4 0.1138 0.3862 0.1138
La5 0.3862 0.1138 0.1138
La6 0.3862 0.3862 0.3862
La7 0.5000 0.0000 0.5000
La8 0.5000 0.5000 0.0000
La9 0.6138 0.6138 0.6138
La10 0.6138 0.8862 0.8862
La11 0.8862 0.6138 0.8862
La12 0.8862 0.8862 0.6138
Pt1 0.0927 0.7500 0.2500
Pt2 0.2500 0.0927 0.7500
Pt3 0.2500 0.4073 0.7500
Pt4 0.2500 0.7500 0.5927
Pt5 0.2500 0.7500 0.9073
Pt6 0.4073 0.7500 0.2500
Pt7 0.5927 0.2500 0.7500
Pt8 0.7500 0.2500 0.0927
Pt9 0.7500 0.2500 0.4073
Pt10 0.7500 0.5927 0.2500
Pt11 0.7500 0.9073 0.2500
Pt12 0.9073 0.2500 0.7500
O1 0.0391 0.0822 0.7468
O2 0.0391 0.4178 0.7532
O3 0.0822 0.7468 0.0391
O4 0.0822 0.7532 0.4609
O5 0.1087 0.7500 0.7500
O6 0.1445 0.1445 0.1445
O7 0.1445 0.3555 0.3555
O8 0.2468 0.5391 0.9178
O9 0.2468 0.9609 0.5822
O10 0.2500 0.2500 0.6087
O11 0.2500 0.2500 0.8913
O12 0.2500 0.6087 0.2500
O13 0.2500 0.8913 0.2500
O14 0.2532 0.5391 0.5822
O15 0.2532 0.9609 0.9178
O16 0.3555 0.1445 0.3555
O17 0.3555 0.3555 0.1445
O18 0.3913 0.7500 0.7500
O19 0.4178 0.7468 0.4609
O20 0.4178 0.7532 0.0391
O21 0.4609 0.0822 0.7532
O22 0.4609 0.4178 0.7468
O23 0.5391 0.5822 0.2532
O24 0.5391 0.9178 0.2468
O25 0.5822 0.2468 0.9609
O26 0.5822 0.2532 0.5391
O27 0.6087 0.2500 0.2500
O28 0.6445 0.6445 0.8555
O29 0.6445 0.8555 0.6445
O30 0.7468 0.0391 0.0822
O31 0.7468 0.4609 0.4178
O32 0.7500 0.1087 0.7500
O33 0.7500 0.3913 0.7500
O34 0.7500 0.7500 0.1087
O35 0.7500 0.7500 0.3913
O36 0.7532 0.0391 0.4178
O37 0.7532 0.4609 0.0822
O38 0.8555 0.6445 0.6445
O39 0.8555 0.8555 0.8555
O40 0.8913 0.2500 0.2500
O41 0.9178 0.2468 0.5391
O42 0.9178 0.2532 0.9609
O43 0.9609 0.5822 0.2468
O44 0.9609 0.9178 0.2532

Entry 2:
# LaTe2PtO | Alexandria via LeMat-Bulk | SCAN | single point on PBEsol structure
# Formation energy without anion corrections in eV/atom: -0.13
data_LaTe2PtO
_chemical_formula_sum 'La1 Te2 Pt1 O1'
_symmetry_space_group_name_H-M 'P 1'
_symmetry_Int_Tables_number 1
_cell_length_a 6.1330
_cell_length_b 6.1330
_cell_length_c 4.0313
_cell_angle_alpha 90.00
_cell_angle_beta 90.00
_cell_angle_gamma 90.00
loop_
_symmetry_equiv_pos_as_xyz
'x,y,z'
loop_
_atom_site_label
_atom_site_fract_x
_atom_site_fract_y
_atom_site_fract_z
La1 0.0000 0.0000 0.0000
Te1 0.0000 0.5000 0.0000
Te2 0.5000 0.0000 0.0000
Pt1 0.5000 0.5000 0.5000
O1 0.0000 0.0000 0.5000

Entry 3:
# RbLa2Ti3O9 | Alexandria via LeMat-Bulk | SCAN | single point on PBEsol structure
# Formation energy without anion corrections in eV/atom: -3.40
data_RbLa2Ti3O9
_chemical_formula_sum 'Rb1 La2 Ti3 O9'
_symmetry_space_group_name_H-M 'P 1'
_symmetry_Int_Tables_number 1
_cell_length_a 5.5525
_cell_length_b 5.5525
_cell_length_c 6.7441
_cell_angle_alpha 90.00
_cell_angle_beta 90.00
_cell_angle_gamma 120.00
loop_
_symmetry_equiv_pos_as_xyz
'x,y,z'
loop_
_atom_site_label
_atom_site_fract_x
_atom_site_fract_y
_atom_site_fract_z
Rb1 0.0000 0.0000 0.0000
La1 0.3333 0.6667 0.6649
La2 0.6667 0.3333 0.3351
Ti1 0.0000 0.0000 0.5000
Ti2 0.3333 0.6667 0.1609
Ti3 0.6667 0.3333 0.8391
O1 0.0000 0.5000 0.0000
O2 0.1727 0.3455 0.3464
O3 0.1727 0.8272 0.3464
O4 0.3455 0.1727 0.6536
O5 0.5000 0.0000 0.0000
O6 0.5000 0.5000 0.0000
O7 0.6545 0.8272 0.3464
O8 0.8272 0.1727 0.6536
O9 0.8272 0.6545 0.6536

Entry 4:
# RbLaW2O8 | Alexandria via LeMat-Bulk | SCAN | single point on PBEsol structure
# Formation energy without anion corrections in eV/atom: -2.73
data_RbLaW2O8
_chemical_formula_sum 'Rb2 La2 W4 O16'
_symmetry_space_group_name_H-M 'P 1'
_symmetry_Int_Tables_number 1
_cell_length_a 7.5064
_cell_length_b 7.5064
_cell_length_c 7.6439
_cell_angle_alpha 113.91
_cell_angle_beta 113.91
_cell_angle_gamma 92.57
loop_
_symmetry_equiv_pos_as_xyz
'x,y,z'
loop_
_atom_site_label
_atom_site_fract_x
_atom_site_fract_y
_atom_site_fract_z
Rb1 0.1870 0.1870 0.0334
Rb2 0.8130 0.8130 0.9666
La1 0.1974 0.8026 0.5000
La2 0.8026 0.1974 0.5000
W1 0.2998 0.2998 0.5662
W2 0.3374 0.6626 0.0000
W3 0.6626 0.3374 0.0000
W4 0.7002 0.7002 0.4338
O1 0.0800 0.0800 0.4039
O2 0.1568 0.4089 0.7670
O3 0.1937 0.7178 0.1449
O4 0.2070 0.4612 0.4479
O5 0.2822 0.8063 0.8551
O6 0.4089 0.1568 0.7670
O7 0.4612 0.2070 0.4479
O8 0.4851 0.4851 0.1531
O9 0.5149 0.5149 0.8469
O10 0.5388 0.7930 0.5521
O11 0.5911 0.8432 0.2330
O12 0.7178 0.1937 0.1449
O13 0.7930 0.5388 0.5521
O14 0.8063 0.2822 0.8551
O15 0.8432 0.5911 0.2330
O16 0.9200 0.9200 0.5961

Entry 5:
# La3Re2O9 | Alexandria via LeMat-Bulk | SCAN | single point on PBEsol structure
# Formation energy without anion corrections in eV/atom: -2.88
data_La3Re2O9
_chemical_formula_sum 'La6 Re4 O18'
_symmetry_space_group_name_H-M 'P 1'
_symmetry_Int_Tables_number 1
_cell_length_a 5.6364
_cell_length_b 6.8205
_cell_length_c 11.0940
_cell_angle_alpha 77.62
_cell_angle_beta 75.59
_cell_angle_gamma 69.21
loop_
_symmetry_equiv_pos_as_xyz
'x,y,z'
loop_
_atom_site_label
_atom_site_fract_x
_atom_site_fract_y
_atom_site_fract_z
La1 0.0025 0.2230 0.2690
La2 0.2264 0.1616 0.8833
La3 0.2822 0.5934 0.3804
La4 0.7178 0.4066 0.6196
La5 0.7736 0.8384 0.1167
La6 0.9975 0.7770 0.7310
Re1 0.3558 0.1236 0.5712
Re2 0.4902 0.6114 0.9082
Re3 0.5098 0.3886 0.0918
Re4 0.6442 0.8764 0.4288
O1 0.0646 0.1163 0.7120
O2 0.1140 0.2521 0.4602
O3 0.1438 0.8124 0.9352
O4 0.1765 0.5106 0.1897
O5 0.3020 0.4197 0.5904
O6 0.3593 0.4779 0.8148
O7 0.3739 0.8196 0.5780
O8 0.3879 0.1677 0.0742
O9 0.4123 0.9387 0.3138
O10 0.5877 0.0613 0.6862
O11 0.6121 0.8323 0.9258
O12 0.6261 0.1804 0.4220
O13 0.6407 0.5221 0.1852
O14 0.6980 0.5803 0.4096
O15 0.8235 0.4894 0.8103
O16 0.8562 0.1876 0.0648
O17 0.8860 0.7479 0.5398
O18 0.9354 0.8837 0.2880

Entry 6:
# La4Re6O19 | Alexandria via LeMat-Bulk | SCAN | single point on PBEsol structure
# Formation energy without anion corrections in eV/atom: -2.41
data_La4Re6O19
_chemical_formula_sum 'La4 Re6 O19'
_symmetry_space_group_name_H-M 'P 1'
_symmetry_Int_Tables_number 1
_cell_length_a 7.8139
_cell_length_b 7.8139
_cell_length_c 7.8139
_cell_angle_alpha 109.47
_cell_angle_beta 109.47
_cell_angle_gamma 109.47
loop_
_symmetry_equiv_pos_as_xyz
'x,y,z'
loop_
_atom_site_label
_atom_site_fract_x
_atom_site_fract_y
_atom_site_fract_z
La1 0.0000 0.0000 0.3155
La2 0.0000 0.3155 0.0000
La3 0.3155 0.0000 0.0000
La4 0.6845 0.6845 0.6845
Re1 0.1331 0.6331 0.5000
Re2 0.3669 0.5000 0.8669
Re3 0.5000 0.1331 0.6331
Re4 0.5000 0.8669 0.3669
Re5 0.6331 0.5000 0.1331
Re6 0.8669 0.3669 0.5000
O1 0.0000 0.0000 0.0000
O2 0.0000 0.3208 0.3208
O3 0.0000 0.6792 0.6792
O4 0.0581 0.3221 0.6976
O5 0.2640 0.9419 0.6395
O6 0.3024 0.6245 0.3605
O7 0.3208 0.0000 0.3208
O8 0.3208 0.3208 0.0000
O9 0.3221 0.6976 0.0581
O10 0.3605 0.3024 0.6245
O11 0.3755 0.6779 0.7360
O12 0.6245 0.3605 0.3024
O13 0.6395 0.2640 0.9419
O14 0.6779 0.7360 0.3755
O15 0.6792 0.0000 0.6792
O16 0.6792 0.6792 0.0000
O17 0.6976 0.0581 0.3221
O18 0.7360 0.3755 0.6779
O19 0.9419 0.6395 0.2640

Entry 7:
# La3RhO | Alexandria via LeMat-Bulk | SCAN | single point on PBEsol structure
# Formation energy without anion corrections in eV/atom: -1.33
data_La3RhO
_chemical_formula_sum 'La3 Rh1 O1'
_symmetry_space_group_name_H-M 'P 1'
_symmetry_Int_Tables_number 1
_cell_length_a 4.8654
_cell_length_b 4.8654
_cell_length_c 4.8654
_cell_angle_alpha 90.00
_cell_angle_beta 90.00
_cell_angle_gamma 90.00
loop_
_symmetry_equiv_pos_as_xyz
'x,y,z'
loop_
_atom_site_label
_atom_site_fract_x
_atom_site_fract_y
_atom_site_fract_z
La1 0.0000 0.0000 0.5000
La2 0.0000 0.5000 0.0000
La3 0.5000 0.0000 0.0000
Rh1 0.5000 0.5000 0.5000
O1 0.0000 0.0000 0.0000

Entry 8:
# La2ZnRhO6 | Alexandria via LeMat-Bulk | SCAN | single point on PBEsol structure
# Formation energy without anion corrections in eV/atom: -2.54
data_La2ZnRhO6
_chemical_formula_sum 'La4 Zn2 Rh2 O12'
_symmetry_space_group_name_H-M 'P 1'
_symmetry_Int_Tables_number 1
_cell_length_a 5.5126
_cell_length_b 5.6733
_cell_length_c 9.5762
_cell_angle_alpha 90.00
_cell_angle_beta 125.09
_cell_angle_gamma 90.00
loop_
_symmetry_equiv_pos_as_xyz
'x,y,z'
loop_
_atom_site_label
_atom_site_fract_x
_atom_site_fract_y
_atom_site_fract_z
La1 0.2380 0.0543 0.2504
La2 0.2380 0.4457 0.7504
La3 0.7620 0.5543 0.2496
La4 0.7620 0.9457 0.7496
Zn1 0.5000 0.0000 0.0000
Zn2 0.5000 0.5000 0.5000
Rh1 0.0000 0.0000 0.5000
Rh2 0.0000 0.5000 0.0000
O1 0.1481 0.2106 0.9524
O2 0.1481 0.2894 0.4524
O3 0.2460 0.7000 0.9537
O4 0.2460 0.8000 0.4537
O5 0.3340 0.0216 0.7460
O6 0.3340 0.4784 0.2460
O7 0.6660 0.5216 0.7540
O8 0.6660 0.9784 0.2540
O9 0.7540 0.2000 0.5463
O10 0.7540 0.3000 0.0463
O11 0.8519 0.7106 0.5476
O12 0.8519 0.7894 0.0476

Entry 9:
# La8Ru4O21 | Alexandria via LeMat-Bulk | SCAN | single point on PBEsol structure
# Formation energy without anion corrections in eV/atom: -2.81
data_La8Ru4O21
_chemical_formula_sum 'La16 Ru8 O42'
_symmetry_space_group_name_H-M 'P 1'
_symmetry_Int_Tables_number 1
_cell_length_a 9.8031
_cell_length_b 9.8031
_cell_length_c 10.7249
_cell_angle_alpha 90.00
_cell_angle_beta 90.00
_cell_angle_gamma 120.00
loop_
_symmetry_equiv_pos_as_xyz
'x,y,z'
loop_
_atom_site_label
_atom_site_fract_x
_atom_site_fract_y
_atom_site_fract_z
La1 0.0000 0.2436 0.0000
La2 0.0000 0.3987 0.6361
La3 0.0000 0.6013 0.1361
La4 0.0000 0.7564 0.5000
La5 0.2436 0.0000 0.0000
La6 0.2436 0.2436 0.5000
La7 0.3333 0.6667 0.3442
La8 0.3333 0.6667 0.8442
La9 0.3987 0.0000 0.6361
La10 0.3987 0.3987 0.1361
La11 0.6013 0.0000 0.1361
La12 0.6013 0.6013 0.6361
La13 0.6667 0.3333 0.3442
La14 0.6667 0.3333 0.8442
La15 0.7564 0.0000 0.5000
La16 0.7564 0.7564 0.0000
Ru1 0.0000 0.0000 0.2318
Ru2 0.0000 0.0000 0.7318
Ru3 0.0000 0.3552 0.3281
Ru4 0.0000 0.6448 0.8281
Ru5 0.3552 0.0000 0.3281
Ru6 0.3552 0.3552 0.8281
Ru7 0.6448 0.0000 0.8281
Ru8 0.6448 0.6448 0.3281
O1 0.0000 0.1573 0.3436
O2 0.0000 0.1582 0.6211
O3 0.0000 0.4422 0.8525
O4 0.0000 0.5578 0.3525
O5 0.0000 0.8418 0.1211
O6 0.0000 0.8427 0.8436
O7 0.1573 0.0000 0.3436
O8 0.1573 0.1573 0.8436
O9 0.1582 0.0000 0.6211
O10 0.1582 0.1582 0.1211
O11 0.1585 0.4551 0.1941
O12 0.1585 0.7035 0.6941
O13 0.1637 0.4366 0.4599
O14 0.1637 0.7271 0.9599
O15 0.2729 0.4366 0.9599
O16 0.2729 0.8363 0.4599
O17 0.2965 0.4551 0.6941
O18 0.2965 0.8415 0.1941
O19 0.4366 0.1637 0.4599
O20 0.4366 0.2729 0.9599
O21 0.4422 0.0000 0.8525
O22 0.4422 0.4422 0.3525
O23 0.4551 0.1585 0.1941
O24 0.4551 0.2965 0.6941
O25 0.5449 0.7035 0.1941
O26 0.5449 0.8415 0.6941
O27 0.5578 0.0000 0.3525
O28 0.5578 0.5578 0.8525
O29 0.5634 0.7271 0.4599
O30 0.5634 0.8363 0.9599
O31 0.7035 0.1585 0.6941
O32 0.7035 0.5449 0.1941
O33 0.7271 0.1637 0.9599
O34 0.7271 0.5634 0.4599
O35 0.8363 0.2729 0.4599
O36 0.8363 0.5634 0.9599
O37 0.8415 0.2965 0.1941
O38 0.8415 0.5449 0.6941
O39 0.8418 0.0000 0.1211
O40 0.8418 0.8418 0.6211
O41 0.8427 0.0000 0.8436
O42 0.8427 0.8427 0.3436

Entry 10:
# La2RuO5 | Alexandria via LeMat-Bulk | SCAN | single point on PBEsol structure
# Formation energy without anion corrections in eV/atom: -2.85
data_La2RuO5
_chemical_formula_sum 'La8 Ru4 O20'
_symmetry_space_group_name_H-M 'P 1'
_symmetry_Int_Tables_number 1
_cell_length_a 9.1053
_cell_length_b 5.8050
_cell_length_c 7.8474
_cell_angle_alpha 90.00
_cell_angle_beta 100.42
_cell_angle_gamma 90.00
loop_
_symmetry_equiv_pos_as_xyz
'x,y,z'
loop_
_atom_site_label
_atom_site_fract_x
_atom_site_fract_y
_atom_site_fract_z
La1 0.0528 0.2405 0.3779
La2 0.0528 0.2595 0.8779
La3 0.3275 0.7492 0.4638
La4 0.3275 0.7508 0.9638
La5 0.6725 0.2492 0.0362
La6 0.6725 0.2508 0.5362
La7 0.9472 0.7405 0.1221
La8 0.9472 0.7595 0.6221
Ru1 0.3533 0.2466 0.2115
Ru2 0.3533 0.2534 0.7115
Ru3 0.6467 0.7466 0.2885
Ru4 0.6467 0.7534 0.7885
O1 0.0765 0.6618 0.8986
O2 0.0765 0.8382 0.3986
O3 0.1848 0.0363 0.1262
O4 0.1848 0.4637 0.6262
O5 0.2245 0.5129 0.2236
O6 0.2245 0.9871 0.7236
O7 0.3526 0.1676 0.4619
O8 0.3526 0.3324 0.9619
O9 0.4768 0.5400 0.7066
O10 0.4768 0.9600 0.2066
O11 0.5232 0.0400 0.7934
O12 0.5232 0.4600 0.2934
O13 0.6474 0.6676 0.0381
O14 0.6474 0.8324 0.5381
O15 0.7755 0.0129 0.2764
O16 0.7755 0.4871 0.7764
O17 0.8152 0.5363 0.3738
O18 0.8152 0.9637 0.8738
O19 0.9235 0.1618 0.6014
O20 0.9235 0.3382 0.1014

Entry 11:
# La4Ru6O19 | Alexandria via LeMat-Bulk | SCAN | single point on PBEsol structure
# Formation energy without anion corrections in eV/atom: -2.11
data_La4Ru6O19
_chemical_formula_sum 'La4 Ru6 O19'
_symmetry_space_group_name_H-M 'P 1'
_symmetry_Int_Tables_number 1
_cell_length_a 7.7522
_cell_length_b 7.7522
_cell_length_c 7.7522
_cell_angle_alpha 109.47
_cell_angle_beta 109.47
_cell_angle_gamma 109.47
loop_
_symmetry_equiv_pos_as_xyz
'x,y,z'
loop_
_atom_site_label
_atom_site_fract_x
_atom_site_fract_y
_atom_site_fract_z
La1 0.0000 0.0000 0.6789
La2 0.0000 0.6789 0.0000
La3 0.3211 0.3211 0.3211
La4 0.6789 0.0000 0.0000
Ru1 0.1375 0.5000 0.6375
Ru2 0.3625 0.8625 0.5000
Ru3 0.5000 0.3625 0.8625
Ru4 0.5000 0.6375 0.1375
Ru5 0.6375 0.1375 0.5000
Ru6 0.8625 0.5000 0.3625
O1 0.0000 0.0000 0.0000
O2 0.0000 0.3265 0.3265
O3 0.0000 0.6735 0.6735
O4 0.0588 0.7322 0.3598
O5 0.2678 0.3266 0.6276
O6 0.3009 0.6734 0.9412
O7 0.3265 0.0000 0.3265
O8 0.3265 0.3265 0.0000
O9 0.3266 0.6276 0.2678
O10 0.3598 0.0588 0.7322
O11 0.3724 0.6991 0.6402
O12 0.6276 0.2678 0.3266
O13 0.6402 0.3724 0.6991
O14 0.6734 0.9412 0.3009
O15 0.6735 0.0000 0.6735
O16 0.6735 0.6735 0.0000
O17 0.6991 0.6402 0.3724
O18 0.7322 0.3598 0.0588
O19 0.9412 0.3009 0.6734

Entry 12:
# SrLaRu2O6 | Alexandria via LeMat-Bulk | SCAN | single point on PBEsol structure
# Formation energy without anion corrections in eV/atom: -2.26
data_SrLaRu2O6
_chemical_formula_sum 'Sr2 La2 Ru4 O12'
_symmetry_space_group_name_H-M 'P 1'
_symmetry_Int_Tables_number 1
_cell_length_a 7.8140
_cell_length_b 5.6011
_cell_length_c 5.5158
_cell_angle_alpha 90.00
_cell_angle_beta 90.00
_cell_angle_gamma 90.00
loop_
_symmetry_equiv_pos_as_xyz
'x,y,z'
loop_
_atom_site_label
_atom_site_fract_x
_atom_site_fract_y
_atom_site_fract_z
Sr1 0.0000 0.2070 0.0000
Sr2 0.5000 0.7930 0.5000
La1 0.0000 0.7031 0.4802
La2 0.5000 0.2969 0.9802
Ru1 0.2498 0.2490 0.4921
Ru2 0.2502 0.7510 0.9921
Ru3 0.7502 0.2490 0.4921
Ru4 0.7498 0.7510 0.9921
O1 0.0000 0.2657 0.5636
O2 0.0000 0.7588 0.9074
O3 0.2084 0.9556 0.2885
O4 0.2104 0.4630 0.2029
O5 0.2896 0.5370 0.7029
O6 0.2916 0.0444 0.7885
O7 0.5000 0.2412 0.4074
O8 0.5000 0.7343 0.0636
O9 0.7084 0.0444 0.7885
O10 0.7104 0.5370 0.7029
O11 0.7896 0.4630 0.2029
O12 0.7916 0.9556 0.2885

Which of these has the highest formation energy without anion corrections?
LaTe2PtO